(1)
PbAu2, relaxed, DFT PBE-GGA; space-group type = No. 8; spin magnetization = 0.000 μB/atom; E = -3.419 eV/atom
1.0
-0.7112 5.3371 1.8146
-3.6812 4.3158 0.3254
-2.5769 -1.9926 6.5058
Au Pb
4 2
direct
0.5992 0.5992 0.2754
0.3286 0.3286 0.3255
0.7230 0.7230 0.6048
0.9563 0.9563 0.0542
0.2345 0.2345 0.9425
0.9918 0.9918 0.6309


(2)
TlIn12Hg16, relaxed, DFT PBE-GGA; space-group type = No. 8; spin magnetization = 0.000 μB/atom; E = -1.367 eV/atom
1.0
8.7949 -0.2387 -4.1131
-4.5502 7.5301 -4.1131
0.2027 0.3482 11.6690
Hg In Tl
16 12 1
direct
0.9896 0.6136 0.9211
0.6136 0.9896 0.9211
0.3661 0.3661 0.7518
0.9981 0.3829 0.6351
0.3647 0.3647 0.2620
0.9927 0.9927 0.8122
0.6622 0.0245 0.4684
0.2794 0.6844 0.2692
0.2477 0.4727 0.5192
0.3829 0.9981 0.6351
0.5107 0.7524 0.0393
0.4727 0.2477 0.5192
0.6844 0.2794 0.2692
0.0264 0.0264 0.0920
0.0245 0.6622 0.4684
0.7524 0.5107 0.0393
0.6708 0.6708 0.8352
0.7940 0.2190 0.8145
0.3619 0.9735 0.1802
0.2190 0.7940 0.8145
0.2104 0.4200 0.9619
0.9735 0.3619 0.1802
0.5604 0.7690 0.5824
0.4200 0.2104 0.9619
0.0305 0.0305 0.5825
0.7690 0.5604 0.5824
0.8829 0.0870 0.2996
0.0870 0.8829 0.2996
0.6524 0.6524 0.2824


(3)
AlAs2CSe, relaxed, DFT PBE-GGA; space-group type = No. 123; spin magnetization = 0.154 μB/atom; formation energy without anion corrections = 1718 meV per atom; energy above the lowest structure with this stoichiometry = 70.33 kJ/mol of atoms
1.0
4.8244 0.0000 0.0000
0.0000 4.8244 0.0000
0.0000 0.0000 4.8003
As C Se Al
2 1 1 1
direct
0.5000 0.0000 0.0000
0.0000 0.5000 0.0000
0.5000 0.5000 0.5000
0.0000 0.0000 0.5000
0.0000 0.0000 0.0000


(4)
AgBiP2N, relaxed, DFT PBE-GGA; space-group type = No. 123; spin magnetization = 0.558 μB/atom; formation energy without anion corrections = 1669 meV per atom
1.0
-0.4028 -4.8861 2.1140
4.3119 -0.4279 -0.1674
0.3973 2.0866 4.8983
Bi P Ag N
1 2 1 1
direct
0.0000 0.0000 0.0000
0.5000 0.0000 0.0000
0.0000 0.0000 0.5000
0.5000 0.5000 0.5000
0.0000 0.5000 0.0000


(5)
CsZnN2F, relaxed, DFT PBE-GGA; space-group type = No. 123; spin magnetization = 0.729 μB/atom; formation energy without anion corrections = 317 meV per atom; energy above the lowest structure with this stoichiometry = 0.00 kJ/mol of atoms
1.0
-0.4647 -3.8992 -1.3720
3.5755 0.3136 -2.1023
2.4847 -1.6941 3.9731
F Cs N Zn
1 1 2 1
direct
0.0000 0.0000 0.5000
0.5000 0.5000 0.5000
0.0000 0.5000 0.0000
0.5000 0.0000 0.0000
0.0000 0.0000 0.0000


(6)
Sr3CaBr, relaxed, DFT PBE-GGA; space-group type = No. 221; spin magnetization = 0.000 μB/atom; formation energy without anion corrections = -432 meV per atom; energy above the lowest structure with this stoichiometry = 0.00 kJ/mol of atoms
1.0
-3.3269 -0.2321 5.2449
-4.2248 -3.5678 -2.8378
3.1167 -5.0841 1.7519
Sr Ca Br
3 1 1
direct
0.0000 0.5000 0.0000
0.5000 0.0000 0.0000
0.0000 0.0000 0.5000
0.5000 0.5000 0.5000
0.0000 0.0000 0.0000


(7)
TlGa2N, relaxed, DFT PBE-GGA; space-group type = No. 122; spin magnetization = 0.000 μB/atom; formation energy without anion corrections = 195 meV per atom; energy above the lowest structure with this stoichiometry = 0.00 kJ/mol of atoms
1.0
-4.8768 2.1227 2.4135
-2.0423 -5.4331 0.6516
-1.5024 -1.8917 5.6953
N Tl Ga
2 2 4
direct
0.5000 0.5000 0.0000
0.2500 0.7500 0.5000
0.0000 0.0000 0.0000
0.7500 0.2500 0.5000
0.5164 0.1250 0.2500
0.3750 0.4836 0.7500
0.8750 0.7664 0.7500
0.2336 0.6250 0.2500


(8)
LaTa2Pt, relaxed, DFT PBE-GGA; space-group type = No. 44; spin magnetization = 0.000 μB/atom; energy above the lowest structure with this stoichiometry = 30.46 kJ/mol of atoms
1.0
5.5142 -0.0068 -0.0020
2.0795 5.1071 0.0020
-3.2219 -3.4061 2.9024
Ta Pt La
2 1 1
direct
0.7626 0.2626 0.5000
0.0045 0.0045 0.0000
0.2384 0.7384 0.5000
0.4944 0.4944 0.0000